# 1
NdNi6C: optimized geometry, PBE.

The structure in POSCAR format:
```
NdNi6C
1.0
5.2252 0.0000 0.0000
2.6126 4.5252 0.0000
2.6126 1.5084 4.4130
Ni C Nd
6 1 1
Direct
0.0996 0.0996 0.2273
0.0996 0.5734 0.2273
0.9004 0.9004 0.7727
0.5734 0.0996 0.2273
0.4266 0.9004 0.7727
0.9004 0.4266 0.7727
0.0000 0.0000 0.0000
0.5000 0.5000 0.5000
```

Values from the calculation:
The formation energy comes out at -0.046 eV per atom. The calculated volume is 104 Å³ per cell.

# 2
SmDyMgMn: optimized geometry, PBE.

The structure in POSCAR format:
```
SmDyMgMn
1.0
5.2303 0.0000 0.0000
2.6151 4.5296 0.0000
2.6151 1.5099 4.2705
Mg Sm Mn Dy
1 1 1 1
Direct
0.2500 0.2500 0.2500
0.5000 0.5000 0.5000
0.7500 0.7500 0.7500
0.0000 0.0000 0.0000
```

Values from the calculation:
The formation energy comes out at 0.104 eV per atom. The calculated volume is 101 Å³ per cell.

# 3
Zr4Bi3H2: optimized geometry, PBE.

The structure in POSCAR format:
```
Zr4Bi3H2
1.0
-2.7160 0.6402 -5.4503
2.8658 -6.5887 -3.7405
-5.1471 -6.2479 0.2926
Zr H Bi
8 4 6
Direct
0.5574 0.1211 0.6523
0.1370 0.2410 0.3357
0.8630 0.7590 0.6643
0.3630 0.6643 0.7590
0.9426 0.3477 0.8789
0.6370 0.3357 0.2410
0.0574 0.6523 0.1211
0.4426 0.8789 0.3477
0.0484 0.5919 0.8748
0.4516 0.1252 0.4081
0.5484 0.8748 0.5919
0.9516 0.4081 0.1252
0.2500 0.5059 0.4941
0.7500 0.4941 0.5059
0.0613 0.0219 0.7606
0.5613 0.7606 0.0219
0.4387 0.2394 0.9781
0.9387 0.9781 0.2394
```

Values from the calculation:
The calculated volume is 363 Å³ per cell. As for the energy: -6.11 eV/atom.

# 4
Pm2Pd4Pt5: optimized geometry, PBE.

The structure in POSCAR format:
```
Pm2Pd4Pt5
1.0
-0.6282 -4.0532 -3.4382
0.0301 -4.9846 1.7052
-9.1289 -1.6720 -0.5266
Pd Pt Pm
4 5 2
Direct
0.5398 0.6647 0.2556
0.7954 0.6647 0.7444
0.2046 0.3353 0.2556
0.4602 0.3353 0.7444
0.5000 0.0000 0.0000
0.2500 0.5000 0.5000
0.0000 0.5000 0.0000
0.5000 0.5000 0.0000
0.7500 0.5000 0.5000
0.1271 0.0000 0.7457
0.8729 0.0000 0.2543
```

Values from the calculation:
The formation energy comes out at -0.577 eV per atom. The calculated volume is 216 Å³ per cell.

# 5
Th2Cu2Hg3: optimized geometry, PBE.

The structure in POSCAR format:
```
Th2Cu2Hg3
1.0
4.7442 0.0000 1.0097
0.0000 3.4362 0.0000
0.3222 0.0000 10.0749
Th Cu Hg
2 2 3
Direct
0.8596 0.5000 0.2786
0.1404 0.5000 0.7214
0.4336 0.0000 0.1327
0.5664 0.0000 0.8673
0.7081 0.0000 0.5847
0.0000 0.0000 0.0000
0.2919 0.0000 0.4153
```

Values from the calculation:
The formation energy comes out at -0.079 eV per atom. The calculated volume is 163 Å³ per cell.

# 6
Rb2HgPd2: optimized geometry, PBE.

The structure in POSCAR format:
```
Rb2HgPd2
1.0
6.6026 0.0000 0.0000
0.0000 6.6026 0.0000
3.3013 3.3013 3.9968
Pd Rb Hg
2 2 1
Direct
0.6641 0.6641 0.6717
0.3359 0.3359 0.3283
0.2500 0.7500 0.5000
0.7500 0.2500 0.5000
0.0000 0.0000 0.0000
```

Values from the calculation:
The formation energy comes out at 0.096 eV per atom. The calculated volume is 174 Å³ per cell.

# 7
Dy2Pa: optimized geometry, PBE.

The structure in POSCAR format:
```
Dy2Pa
1.0
3.3993 0.0024 0.0047
0.0024 3.3993 0.0047
-1.7081 -1.7081 7.5410
Pa Dy
1 2
Direct
0.5000 0.5000 0.0000
0.8434 0.8434 0.6864
0.1566 0.1566 0.3136
```

Values from the calculation:
The formation energy comes out at 0.150 eV per atom. The calculated volume is 87 Å³ per cell.

# 8
NpAlSi2: optimized geometry, PBE.

The structure in POSCAR format:
```
NpAlSi2
1.0
-2.2347 2.9488 2.0534
-1.1686 -0.6455 4.0154
2.8574 2.7609 3.5051
Al Si Np
1 2 1
Direct
0.0000 0.0000 0.0000
0.7162 0.7162 0.8513
0.2838 0.2838 0.1487
0.5000 0.5000 0.5000
```

Values from the calculation:
The uncorrected formation energy is -0.0623 eV per atom. The calculated volume is 73 Å³ per cell.

# 9
PmPuP2: optimized geometry, PBE.

The structure in POSCAR format:
```
PmPuP2
1.0
4.9356 0.0000 0.0000
2.4678 4.2744 0.0000
2.4678 1.4248 4.0299
P Pm Pu
2 1 1
Direct
0.7500 0.7500 0.7500
0.2500 0.2500 0.2500
0.5000 0.5000 0.5000
0.0000 0.0000 0.0000
```

Values from the calculation:
The formation energy comes out at -0.952 eV per atom. The calculated volume is 85 Å³ per cell.

# 10
Pr6SnGe2Br3: optimized geometry, PBE.

The structure in POSCAR format:
```
Pr6SnGe2Br3
1.0
-3.9620 -1.7522 -0.7928
3.8891 -7.2143 -3.4916
1.0860 -1.3473 9.7833
Ge Sn Br Pr
2 1 3 6
Direct
0.1675 0.3382 0.3351
0.8325 0.6618 0.6649
0.5000 0.0000 0.0000
0.1650 0.8345 0.3300
0.8350 0.1655 0.6700
0.5000 0.5000 0.0000
0.3248 0.4321 0.6496
0.6664 0.1158 0.3329
0.0117 0.2503 0.0234
0.3336 0.8842 0.6671
0.6752 0.5679 0.3504
0.9883 0.7497 0.9766
```

Values from the calculation:
The uncorrected formation energy is -1.1087 eV per atom. The calculated volume is 370 Å³ per cell.

# 11
Pr2Sn5Pt3: optimized geometry, PBE.

The structure in POSCAR format:
```
Pr2Sn5Pt3
1.0
4.5533 0.0000 -0.7756
0.0000 7.4912 0.0000
-0.0337 0.0000 13.5549
Pr Sn Pt
4 10 6
Direct
0.4765 0.7521 0.9530
0.5235 0.2521 0.0470
0.1727 0.7363 0.3454
0.8273 0.2363 0.6546
0.4024 0.3853 0.8049
0.8798 0.7579 0.7595
0.2959 0.9331 0.5919
0.0486 0.5904 0.0972
0.9514 0.0904 0.9028
0.7111 0.0127 0.4223
0.5976 0.8853 0.1951
0.7041 0.4331 0.4081
0.2889 0.5127 0.5777
0.1202 0.2579 0.2405
0.3945 0.0143 0.7891
0.7771 0.7136 0.5542
0.6055 0.5143 0.2109
0.9486 0.4689 0.8972
0.0514 0.9689 0.1028
0.2229 0.2136 0.4458
```

Values from the calculation:
The formation energy comes out at -0.796 eV per atom. The calculated volume is 462 Å³ per cell.

# 12
Ac7Rh3: optimized geometry, PBE.

The structure in POSCAR format:
```
Ac7Rh3
1.0
6.8610 0.0000 0.0000
0.0000 9.2266 -5.3270
0.0000 0.0000 10.6540
Rh Ac
6 14
Direct
0.8680 0.1891 0.3782
0.3680 0.8109 0.6218
0.8680 0.6218 0.8109
0.8680 0.1891 0.8109
0.3680 0.8109 0.1891
0.3680 0.3782 0.1891
0.6475 0.3333 0.6667
0.4401 0.1247 0.2494
0.1120 0.0827 0.5413
0.9401 0.8753 0.1247
0.9401 0.2494 0.1247
0.4401 0.7506 0.8753
0.1475 0.6667 0.3333
0.6120 0.5413 0.4587
0.6120 0.5413 0.0827
0.6120 0.9173 0.4587
0.9401 0.8753 0.7506
0.1120 0.4587 0.5413
0.1120 0.4587 0.9173
0.4401 0.1247 0.8753
```

Values from the calculation:
The formation energy comes out at -0.498 eV per atom. The calculated volume is 674 Å³ per cell.

What is the calculated volume in the first record?
104 Å³ per cell